Entry from Alexandria via LeMat-Bulk: a relaxed structure of Li2Pm2TmIn2 (PBE).

V	182.7	Å³/cell
size of the total moment	0.0	μB per formula unit
ρ	6.4	g cm⁻³
N(E_F)	0.83	states/eV/atom
ΔH_f (0 K)	-229	meV per atom

POSCAR file:
```
Li2Pm2TmIn2
1.0
2.4293 1.4025 8.9367
-2.4293 1.4025 8.9367
0.0000 -2.8051 8.9367
Li Pm Tm In
2 2 1 2
direct
0.1106 0.1106 0.1106
0.8894 0.8894 0.8894
0.3733 0.3733 0.3733
0.6267 0.6267 0.6267
0.5000 0.5000 0.5000
0.2340 0.2340 0.2340
0.7660 0.7660 0.7660
```